[1]
DFT (PBE-GGA) results for a geometry-optimized PaBiPb structure.

Polymorph energy (0 for the lowest one), meV per atom: 0
Formation energy from the elements, eV per atom: -0.062

```
PaBiPb
1.0
2.198 -8.377 0.000
2.198 8.377 0.000
0.000 0.000 4.677
Pa Bi Pb
2 2 2
Direct
0.093 0.907 0.750 Pa
0.907 0.093 0.250 Pa
0.425 0.575 0.750 Bi
0.575 0.425 0.250 Bi
0.250 0.750 0.250 Pb
0.750 0.250 0.750 Pb
```

=====

[2]
DFT (PBE-GGA) results for a geometry-optimized Ba2NaCaTa structure.

Formation energy from the elements, eV per atom: 0.809

```
Ba2NaCaTa
1.0
6.188 0.000 0.000
0.000 6.188 0.000
0.000 0.000 6.011
Ba Na Ca Ta
2 1 1 1
Direct
0.000 0.500 0.000 Ba
0.500 0.000 0.000 Ba
0.000 0.000 0.500 Na
0.500 0.500 0.500 Ca
0.500 0.500 0.000 Ta
```

=====

[3]
DFT (PBE-GGA) results for a geometry-optimized KCrSi structure.

Polymorph energy (0 for the lowest one), meV per atom: 1227

```
KCrSi
1.0
0.000 3.589 3.589
3.589 0.000 3.589
3.589 3.589 0.000
K Cr Si
1 1 1
Direct
0.000 0.000 0.000 K
0.250 0.250 0.250 Cr
0.750 0.750 0.750 Si
```

=====

[4]
DFT (PBE-GGA) results for a geometry-optimized BaTbS2O8 structure.

E_tot, eV per atom: -6.5785

```
BaTbS2O8
1.0
5.231 0.000 0.000
-2.615 4.530 0.000
0.000 0.000 8.321
Ba Tb S O
1 1 2 8
Direct
0.000 0.000 0.000 Ba
0.000 0.000 0.500 Tb
0.333 0.667 0.766 S
0.667 0.333 0.234 S
0.178 0.355 0.709 O
0.178 0.822 0.709 O
0.333 0.667 0.945 O
0.355 0.178 0.291 O
0.645 0.822 0.709 O
0.667 0.333 0.055 O
0.822 0.178 0.291 O
0.822 0.645 0.291 O
```